Density functional theory data (PBE) for a relaxed AsPIr crystal.

Geometry as CIF:
```
data_AsPIr
_chemical_formula_sum 'As4 P4 Ir4'
_space_group_name_H-M_alt 'P 1 21 1'
_space_group_IT_number 4
_space_group_name_Hall 'P 2yb'
_cell_length_a 5.9712
_cell_length_b 5.9893
_cell_length_c 6.0777
_cell_angle_alpha 90.00
_cell_angle_beta 112.29
_cell_angle_gamma 90.00
loop_
_atom_site_label
_atom_site_fract_x
_atom_site_fract_y
_atom_site_fract_z
As1 0.1583 0.0000 0.1204
As2 0.3355 0.4976 0.4379
P1 0.1530 0.7463 0.6253
P2 0.3380 0.2515 0.9345
Ir1 0.2627 0.1184 0.5509
Ir2 0.2807 0.6178 0.0325
```

Calculated values
- ΔH_f (0 K): -584 meV per atom
- Total magnetic moment: 0.00 μB/f.u.
- E_tot: -6.89 eV/atom
- Crystal system: monoclinic
- Energy above the most stable polymorph in this dataset: 34.2 meV per atom